Entry from the Alexandria database: a relaxed Ba3Ag3Hg crystal (PBE-GGA).

For the size of the total moment, the calculation gives 0.00 μB per formula unit. Its uncorrected energy is -33.70 eV/cell. As for the crystal system: monoclinic. The calculation puts the volume at 489 Å³/cell. Its energy of formation from the pure elements is -2.2 eV/f.u. Its space group is C2/m (12).

Cell and atoms, written as extended XYZ:
```
14
Lattice="-4.498 0.900 1.633 -4.312 -4.739 -2.005 0.790 -8.231 13.973" Properties=species:S:1:pos:R:3 pbc="T T T"
Ag -4.529 -0.442 2.288
Ag -7.817 -5.096 3.056
Ag -1.499 -5.073 5.927
Ag -3.491 -11.627 11.313
Ag -0.203 -6.974 10.544
Ag -6.521 -6.997 7.674
Ba -2.272 -8.580 12.991
Ba -2.104 -2.956 3.093
Ba -5.748 -3.489 0.609
Ba -3.243 -5.850 8.812
Ba -4.778 -6.220 4.788
Ba -5.916 -9.114 10.508
Hg -4.448 -8.968 7.212
Hg -3.572 -3.102 6.389
```